Material: Cs2ZrI2Br4
Method: DFT, PBE-GGA
State: optimized geometry

The structure in extended XYZ format:
```
9
Lattice="-2.8856 -2.6326 7.1314 -0.0940 -4.9375 -6.4597 7.9919 1.1729 -0.9322" Properties=species:S:1:pos:R:3 pbc="T T T"
I 2.0030 -0.9547 -1.8746
Br 6.1361 -0.2295 -2.2008
Br 0.4881 -2.0725 1.5770
Cs 0.4847 -4.7262 -1.5121
Br 1.7618 -3.5351 -5.1910
Cs 4.5276 -1.6710 1.2517
Zr 0.0000 0.0000 0.0000
I 5.8949 -2.8098 -5.5172
Br 4.5242 -4.3247 -1.8374
```

Properties
Raw formation energy   -1.519 eV per atom
Calculated volume   382 Å³ per cell
Space-group type   I4/mmm

---

Material: AcTmAlIn
Method: DFT, PBE-GGA
State: optimized geometry

The structure in extended XYZ format:
```
4
Lattice="-0.2608 -3.7215 3.9640 4.5436 -2.4310 1.7541 1.9661 1.1479 4.9445" Properties=species:S:1:pos:R:3 pbc="T T T"
Ac 3.1245 -2.5023 5.3313
Al 4.6867 -3.7535 7.9969
In 1.5622 -1.2512 2.6656
Tm 0.0000 0.0000 0.0000
```

Properties
Calculated volume   114 Å³ per cell
Energy relative to the elements   -0.30 eV/atom
Space-group type   F-43m

---

Material: CsAg2BiF8
Method: DFT, PBE-GGA
State: optimized geometry

The structure in extended XYZ format:
```
12
Lattice="-3.7451 3.0887 -2.8299 -0.6309 -0.8152 5.5237 4.9197 7.4934 1.6678" Properties=species:S:1:pos:R:3 pbc="T T T"
Bi 2.4599 3.7467 0.8339
Ag -1.7001 3.3210 0.2960
F -1.0035 4.8613 -1.2190
F 2.0924 9.0975 1.5817
Cs 0.0000 0.0000 0.0000
F 2.8100 4.7155 2.7098
F 1.5473 4.9055 5.5806
Ag 2.2439 6.4458 4.0657
F -2.2662 5.0513 1.6519
F 0.1655 6.3520 3.1577
F 0.3783 3.4148 1.2039
F -1.5486 0.6693 2.7800
```

Properties
Raw formation energy   -1.728 eV per atom
Calculated volume   249 Å³ per cell
Space-group type   P-3

---

Material: Zr2TlPt
Method: DFT, PBE-GGA
State: optimized geometry

The structure in extended XYZ format:
```
4
Lattice="-2.3363 -3.4647 -0.9077 2.2283 -0.7332 -2.9370 4.3122 -3.3539 1.7025" Properties=species:S:1:pos:R:3 pbc="T T T"
Tl 3.4538 -4.7859 -0.6947
Zr 6.1941 -3.8478 -1.2560
Pt 3.4666 -1.9734 -1.3903
Zr 0.9004 -3.0751 -0.6530
```

Properties
Calculated volume   87 Å³ per cell
Energy relative to the elements   -0.42 eV/atom
Energy above the lowest structure with this stoichiometry   78 meV per atom
Space-group type   Amm2

---

Material: AcZnGa
Method: DFT, PBE-GGA
State: optimized geometry

The structure in extended XYZ format:
```
3
Lattice="-0.7137 1.8181 3.7797 -4.4437 0.4735 -1.0669 1.4627 -3.8106 2.1092" Properties=species:S:1:pos:R:3 pbc="T T T"
Zn -2.5939 -0.6514 0.6220
Ac -0.9819 -1.1704 3.5704
Ga -0.1189 0.3029 0.6297
```

Properties
Calculated volume   78 Å³ per cell
Energy relative to the elements   -0.44 eV/atom
Energy above the lowest structure with this stoichiometry   18 meV per atom
Space-group type   P-6m2

---

Material: CsPmAs2
Method: DFT, PBE-GGA
State: optimized geometry

The structure in extended XYZ format:
```
4
Lattice="-2.3135 0.3630 -3.2996 -2.6131 -2.6794 1.5374 -3.8512 5.6627 3.3232" Properties=species:S:1:pos:R:3 pbc="T T T"
Cs -4.3889 1.6732 0.7805
As -0.6348 0.9333 0.5477
Pm -2.4633 -1.1582 -0.8811
As -3.2164 4.7294 2.7755
```

Properties
Calculated volume   125 Å³ per cell
Energy relative to the elements   -0.83 eV/atom
Energy above the lowest structure with this stoichiometry   0 meV per atom
Space-group type   P4/mmm